[1]
Material: Nd3Sm2Mg8
Method: DFT, GGA-PBE
State: optimized geometry

Output
formation energy from the elements: 1.24 eV per formula unit
uncorrected energy: -2.712 eV per atom

Unit cell a=5.8963 b=5.8963 c=13.0840 alpha=76.98 beta=76.98 gamma=60.00
Last column: nearest neighbours and their distance in Å.
Element x y z (fractional)
Nd: 0.0000 0.0000 0.0000  6 Sm 3.55
Nd: 0.8163 0.8163 0.5512  10 Mg 3.46-3.53, 3 Nd 3.64
Nd: 0.1837 0.1837 0.4488  10 Mg 3.46-3.53, 3 Nd 3.64
Sm: 0.6398 0.6398 0.0807  7 Mg 3.23-3.61, 3 Nd 3.55
Sm: 0.3602 0.3602 0.9193  7 Mg 3.23-3.61, 3 Nd 3.55
Mg: 0.7250 0.7250 0.8250  4 Sm 3.23-3.61, 6 Mg 3.38, 1 Nd 3.46
Mg: 0.2750 0.2750 0.1750  4 Sm 3.23-3.61, 6 Mg 3.38, 1 Nd 3.46
Mg: 0.2301 0.7319 0.3061  4 Mg 2.94-2.96
Mg: 0.7319 0.2301 0.3061  4 Mg 2.94-2.96
Mg: 0.7319 0.7319 0.3061  4 Mg 2.94-2.96
Mg: 0.2681 0.7699 0.6939  4 Mg 2.94-2.96
Mg: 0.7699 0.2681 0.6939  4 Mg 2.94-2.96
Mg: 0.2681 0.2681 0.6939  4 Mg 2.94-2.96

[2]
Material: Nd5SmMg
Method: DFT, GGA-PBE
State: optimized geometry

Output
formation energy from the elements: 0.67 eV per formula unit
uncorrected energy: -4.212 eV per atom

Unit cell a=9.7607 b=6.5663 c=11.9644 alpha=75.86 beta=90.00 gamma=138.01
Last column: nearest neighbours and their distance in Å.
Element x y z (fractional)
Nd: 0.0224 0.4116 0.1543  8 Nd 3.48-3.88, 1 Mg 3.51, 2 Sm 3.58-3.64
Nd: 0.7746 0.2272 0.4631  4 Nd 3.33-3.65, 1 Mg 3.44, 2 Sm 3.45-3.56
Nd: 0.3891 0.4116 0.6543  8 Nd 3.48-3.88, 1 Mg 3.51, 2 Sm 3.58-3.64
Nd: 0.1399 0.0000 0.2500  2 Mg 3.29, 6 Nd 3.43-3.62, 1 Sm 3.48
Nd: 0.5474 0.7728 0.0369  4 Nd 3.33-3.65, 1 Mg 3.44, 2 Sm 3.45-3.56
Nd: 0.4526 0.2272 0.9631  4 Nd 3.33-3.65, 1 Mg 3.44, 2 Sm 3.45-3.56
Nd: 0.8601 0.0000 0.7500  2 Mg 3.29, 6 Nd 3.43-3.62, 1 Sm 3.48
Nd: 0.6109 0.5884 0.3457  8 Nd 3.48-3.88, 1 Mg 3.51, 2 Sm 3.58-3.64
Nd: 0.2254 0.7728 0.5369  4 Nd 3.33-3.65, 1 Mg 3.44, 2 Sm 3.45-3.56
Nd: 0.9776 0.5884 0.8457  8 Nd 3.48-3.88, 1 Mg 3.51, 2 Sm 3.58-3.64
Sm: 0.4965 0.0000 0.2500  9 Nd 3.45-3.64
Sm: 0.5035 0.0000 0.7500  9 Nd 3.45-3.64
Mg: 0.0000 0.0000 0.0000  6 Nd 3.29-3.51
Mg: 0.0000 0.0000 0.5000  6 Nd 3.29-3.51

[3]
Material: Nd3Sm2Mg3
Method: DFT, GGA-PBE
State: optimized geometry

Output
formation energy from the elements: -0.57 eV per formula unit
uncorrected energy: -3.636 eV per atom

Unit cell a=3.8696 b=5.5686 c=11.8913 alpha=103.54 beta=99.36 gamma=90.00
Last column: nearest neighbours and their distance in Å.
Element x y z (fractional)
Nd: 0.6237 0.6237 0.2473  6 Mg 3.39-3.42, 4 Sm 3.75-3.77
Nd: 0.3763 0.3763 0.7527  6 Mg 3.39-3.42, 4 Sm 3.75-3.77
Nd: 0.5000 0.0000 0.0000  8 Mg 3.31-3.39
Sm: 0.7355 0.2355 0.4709  2 Mg 3.31, 4 Sm 3.45
Sm: 0.2645 0.7645 0.5291  2 Mg 3.31, 4 Sm 3.45
Mg: 0.1177 0.1177 0.2353  6 Nd 3.31-3.39, 2 Sm 3.31
Mg: 0.0000 0.5000 0.0000  8 Nd 3.39-3.42
Mg: 0.8823 0.8823 0.7647  6 Nd 3.31-3.39, 2 Sm 3.31

[4]
Material: Nd4Sm2Mg
Method: DFT, GGA-PBE
State: optimized geometry

Output
formation energy from the elements: 1.19 eV per formula unit
E above lowest polymorph: 0 meV/atom
uncorrected energy: -4.130 eV per atom

Unit cell a=6.8722 b=9.0424 c=9.0424 alpha=78.90 beta=67.67 gamma=67.67
Last column: nearest neighbours and their distance in Å.
Element x y z (fractional)
Nd: 0.1531 0.3614 0.3324  2 Mg 3.41, 1 Sm 3.42, 3 Nd 3.68-3.74
Nd: 0.1531 0.8324 0.8614  2 Mg 3.41, 1 Sm 3.42, 3 Nd 3.68-3.74
Nd: 0.2318 0.2416 0.7416  1 Nd 3.07, 1 Mg 3.15, 1 Sm 3.17
Nd: 0.7850 0.2416 0.7416  1 Nd 3.07, 1 Mg 3.15, 1 Sm 3.17
Nd: 0.2150 0.7584 0.2584  1 Nd 3.07, 1 Mg 3.15, 1 Sm 3.17
Nd: 0.8469 0.1676 0.1386  2 Mg 3.41, 1 Sm 3.42, 3 Nd 3.68-3.74
Nd: 0.7682 0.7584 0.2584  1 Nd 3.07, 1 Mg 3.15, 1 Sm 3.17
Nd: 0.8469 0.6386 0.6676  2 Mg 3.41, 1 Sm 3.42, 3 Nd 3.68-3.74
Sm: 0.2829 0.9671 0.4671  4 Nd 3.17-3.42, 2 Sm 3.53
Sm: 0.5000 0.0000 0.0000  4 Nd 3.45
Sm: 0.5000 0.5000 0.5000  4 Nd 3.45
Sm: 0.7171 0.0329 0.5329  4 Nd 3.17-3.42, 2 Sm 3.53
Mg: 0.0000 0.5000 0.0000  6 Nd 3.15-3.41, 2 Mg 3.44
Mg: 0.5000 0.5000 0.0000  6 Nd 3.15-3.41, 2 Mg 3.44

[5]
Material: Nd4SmMg3
Method: DFT, GGA-PBE
State: optimized geometry

Output
formation energy from the elements: -0.29 eV per formula unit
uncorrected energy: -3.608 eV per atom

Unit cell a=3.8542 b=5.6280 c=11.3532 alpha=90.00 beta=90.00 gamma=90.00
Last column: nearest neighbours and their distance in Å.
Element x y z (fractional)
Mg: 0.5000 0.0000 0.2509  8 Nd 3.41-3.44
Mg: 0.5000 0.5000 0.5000  8 Nd 3.31-3.41
Mg: 0.5000 0.0000 0.7491  8 Nd 3.41-3.44
Nd: 0.0000 0.0000 0.5000  8 Mg 3.41-3.42
Nd: 0.0000 0.5000 0.7369  6 Mg 3.31-3.41, 2 Sm 3.55
Nd: 0.0000 0.0000 0.0000  4 Sm 3.41, 4 Mg 3.44
Nd: 0.0000 0.5000 0.2631  6 Mg 3.31-3.41, 2 Sm 3.55
Sm: 0.5000 0.5000 0.0000  8 Nd 3.41-3.55

[6]
Material: Nd5Sm4Mg2
Method: DFT, GGA-PBE
State: optimized geometry

Output
formation energy from the elements: 0.57 eV per formula unit
E above lowest polymorph: 0 meV/atom
uncorrected energy: -4.121 eV per atom

Unit cell a=3.5822 b=8.9116 c=14.1772 alpha=125.59 beta=97.26 gamma=90.00
Last column: nearest neighbours and their distance in Å.
Element x y z (fractional)
Nd: 0.1830 0.8954 0.3660  4 Sm 3.43-3.64, 5 Nd 3.44-3.58, 2 Mg 3.50
Nd: 0.8170 0.1046 0.6340  4 Sm 3.43-3.64, 5 Nd 3.44-3.58, 2 Mg 3.50
Nd: 0.1311 0.1623 0.2623  5 Nd 3.44-3.58, 2 Mg 3.59, 4 Sm 3.61-3.65
Nd: 0.5000 0.0000 0.0000  2 Mg 3.51, 6 Nd 3.56-3.58, 4 Sm 3.59
Nd: 0.8689 0.8377 0.7377  5 Nd 3.44-3.58, 2 Mg 3.59, 4 Sm 3.61-3.65
Sm: 0.7111 0.6023 0.4223  6 Sm 3.58-4.00, 6 Nd 3.62-3.65
Sm: 0.9277 0.5703 0.8553  4 Nd 3.43-3.61, 4 Mg 3.46-3.51, 4 Sm 3.58-3.71
Sm: 0.2889 0.3977 0.5777  6 Sm 3.58-4.00, 6 Nd 3.62-3.65
Sm: 0.0723 0.4297 0.1447  4 Nd 3.43-3.61, 4 Mg 3.46-3.51, 4 Sm 3.58-3.71
Mg: 0.5542 0.7316 0.1084  3 Mg 3.40-3.58, 4 Sm 3.46-3.51, 5 Nd 3.50-3.59
Mg: 0.4458 0.2684 0.8916  3 Mg 3.40-3.58, 4 Sm 3.46-3.51, 5 Nd 3.50-3.59

[7]
Material: Nd4Sm9Mg11
Method: DFT, GGA-PBE
State: optimized geometry

Output
formation energy from the elements: -1.20 eV per formula unit
uncorrected energy: -3.345 eV per atom

Unit cell a=3.7168 b=14.1909 c=14.1909 alpha=109.79 beta=90.00 gamma=90.00
Last column: nearest neighbours and their distance in Å.
Element x y z (fractional)
Nd: 0.5000 0.5746 0.7467  3 Sm 3.30-3.68, 6 Mg 3.33-3.43
Nd: 0.5000 0.4254 0.2533  3 Sm 3.30-3.68, 6 Mg 3.33-3.43
Nd: 0.5000 0.7467 0.5746  3 Sm 3.30-3.68, 6 Mg 3.33-3.43
Nd: 0.5000 0.2533 0.4254  3 Sm 3.30-3.68, 6 Mg 3.33-3.43
Sm: 0.5000 0.6199 0.1488  8 Mg 3.32-3.49, 1 Nd 3.55, 2 Sm 3.72
Sm: 0.5000 0.3801 0.8512  8 Mg 3.32-3.49, 1 Nd 3.55, 2 Sm 3.72
Sm: 0.5000 0.1488 0.6199  8 Mg 3.32-3.49, 1 Nd 3.55, 2 Sm 3.72
Sm: 0.5000 0.8512 0.3801  8 Mg 3.32-3.49, 1 Nd 3.55, 2 Sm 3.72
Sm: 0.5000 0.7931 0.9788  8 Mg 3.29-3.40, 1 Nd 3.68
Sm: 0.5000 0.2069 0.0212  8 Mg 3.29-3.40, 1 Nd 3.68
Sm: 0.5000 0.9788 0.7931  8 Mg 3.29-3.40, 1 Nd 3.68
Sm: 0.5000 0.0212 0.2069  8 Mg 3.29-3.40, 1 Nd 3.68
Sm: 0.5000 0.5000 0.5000  4 Nd 3.30
Mg: 0.0000 0.5893 0.9462  6 Sm 3.33-3.37, 2 Nd 3.33, 3 Mg 3.37-3.72
Mg: 0.0000 0.4107 0.0538  6 Sm 3.33-3.37, 2 Nd 3.33, 3 Mg 3.37-3.72
Mg: 0.0000 0.9462 0.5893  6 Sm 3.33-3.37, 2 Nd 3.33, 3 Mg 3.37-3.72
Mg: 0.0000 0.0538 0.4107  6 Sm 3.33-3.37, 2 Nd 3.33, 3 Mg 3.37-3.72
Mg: 0.0000 0.6380 0.3620  4 Nd 3.43, 6 Sm 3.49-3.70, 2 Mg 3.72
Mg: 0.0000 0.3620 0.6380  4 Nd 3.43, 6 Sm 3.49-3.70, 2 Mg 3.72
Mg: 0.0000 0.8218 0.1782  8 Sm 3.29-3.32
Mg: 0.0000 0.1782 0.8218  8 Sm 3.29-3.32
Mg: 0.0000 0.0000 0.0000  8 Sm 3.40, 4 Mg 3.56-3.72
Mg: 0.0000 0.7820 0.7820  4 Sm 3.31, 4 Nd 3.37, 1 Mg 3.56
Mg: 0.0000 0.2180 0.2180  4 Sm 3.31, 4 Nd 3.37, 1 Mg 3.56

[8]
Material: NdSm9Mg2
Method: DFT, GGA-PBE
State: optimized geometry

Output
formation energy from the elements: 0.19 eV per formula unit
uncorrected energy: -4.187 eV per atom

Unit cell a=5.0388 b=5.0388 c=15.1758 alpha=90.00 beta=90.00 gamma=90.00
Last column: nearest neighbours and their distance in Å.
Element x y z (fractional)
Nd: 0.0000 0.0000 0.0000  12 Sm 3.56-3.62
Sm: 0.5000 0.5000 0.0000  4 Nd 3.56, 8 Sm 3.62
Sm: 0.5000 0.5000 0.3377  8 Sm 3.52-3.56, 4 Mg 3.56
Sm: 0.5000 0.5000 0.6623  8 Sm 3.52-3.56, 4 Mg 3.56
Sm: 0.5000 0.0000 0.1716  2 Mg 3.56, 8 Sm 3.56-3.62, 2 Nd 3.62
Sm: 0.5000 0.0000 0.5000  8 Sm 3.52-3.56, 4 Mg 3.52
Sm: 0.5000 0.0000 0.8284  2 Mg 3.56, 8 Sm 3.56-3.62, 2 Nd 3.62
Sm: 0.0000 0.5000 0.1716  2 Mg 3.56, 8 Sm 3.56-3.62, 2 Nd 3.62
Sm: 0.0000 0.5000 0.5000  8 Sm 3.52-3.56, 4 Mg 3.52
Sm: 0.0000 0.5000 0.8284  2 Mg 3.56, 8 Sm 3.56-3.62, 2 Nd 3.62
Mg: 0.0000 0.0000 0.3376  12 Sm 3.52-3.56
Mg: 0.0000 0.0000 0.6624  12 Sm 3.52-3.56

[9]
Material: Nd3SmMg2
Method: DFT, GGA-PBE
State: optimized geometry

Output
formation energy from the elements: -0.36 eV per formula unit
uncorrected energy: -3.762 eV per atom

Unit cell a=3.8039 b=3.8039 c=12.9526 alpha=90.00 beta=90.00 gamma=90.00
Last column: nearest neighbours and their distance in Å.
Element x y z (fractional)
Nd: 0.0000 0.0000 0.0000  8 Mg 3.34
Nd: 0.0000 0.0000 0.6930  4 Mg 3.35, 4 Sm 3.67
Nd: 0.0000 0.0000 0.3070  4 Mg 3.35, 4 Sm 3.67
Sm: 0.5000 0.5000 0.5000  8 Nd 3.67, 4 Sm 3.80
Mg: 0.5000 0.5000 0.8468  8 Nd 3.34-3.35
Mg: 0.5000 0.5000 0.1532  8 Nd 3.34-3.35

[10]
Material: Nd4SmMg2
Method: DFT, GGA-PBE
State: optimized geometry

Output
formation energy from the elements: 1.85 eV per formula unit
uncorrected energy: -3.590 eV per atom

Unit cell a=5.6679 b=5.6679 c=9.5861 alpha=72.80 beta=72.80 gamma=60.00
Last column: nearest neighbours and their distance in Å.
Element x y z (fractional)
Nd: 0.7431 0.7431 0.7707  4 Mg 3.28-3.38, 4 Nd 3.44-3.57
Nd: 0.8705 0.8705 0.3886  3 Sm 3.42, 4 Nd 3.44-3.57
Nd: 0.2569 0.2569 0.2293  4 Mg 3.28-3.38, 4 Nd 3.44-3.57
Nd: 0.1295 0.1295 0.6114  3 Sm 3.42, 4 Nd 3.44-3.57
Sm: 0.5000 0.5000 0.5000  2 Mg 3.29, 6 Nd 3.42
Mg: 0.6219 0.6219 0.1344  4 Nd 3.28-3.38, 1 Sm 3.29
Mg: 0.3781 0.3781 0.8656  4 Nd 3.28-3.38, 1 Sm 3.29

[11]
Material: Nd3Sm3Mg
Method: DFT, GGA-PBE
State: optimized geometry

Output
formation energy from the elements: 0.76 eV per formula unit
E above lowest polymorph: 84 meV/atom
uncorrected energy: -4.185 eV per atom

Unit cell a=6.2971 b=6.2971 c=14.7502 alpha=77.67 beta=77.67 gamma=60.00
Last column: nearest neighbours and their distance in Å.
Element x y z (fractional)
Nd: 0.2030 0.8699 0.3906  3 Sm 3.59, 9 Nd 3.63-3.77
Nd: 0.5365 0.2030 0.3906  3 Sm 3.59, 9 Nd 3.63-3.77
Nd: 0.8699 0.5365 0.3906  3 Sm 3.59, 9 Nd 3.63-3.77
Nd: 0.1301 0.4635 0.6094  3 Sm 3.59, 9 Nd 3.63-3.77
Nd: 0.4635 0.7970 0.6094  3 Sm 3.59, 9 Nd 3.63-3.77
Nd: 0.7970 0.1301 0.6094  3 Sm 3.59, 9 Nd 3.63-3.77
Sm: 0.9378 0.2721 0.1868  2 Mg 3.39, 3 Nd 3.59, 6 Sm 3.63-3.65
Sm: 0.6033 0.9378 0.1868  2 Mg 3.39, 3 Nd 3.59, 6 Sm 3.63-3.65
Sm: 0.2721 0.6033 0.1868  2 Mg 3.39, 3 Nd 3.59, 6 Sm 3.63-3.65
Sm: 0.7279 0.3967 0.8132  2 Mg 3.39, 3 Nd 3.59, 6 Sm 3.63-3.65
Sm: 0.3967 0.0622 0.8132  2 Mg 3.39, 3 Nd 3.59, 6 Sm 3.63-3.65
Sm: 0.0622 0.7279 0.8132  2 Mg 3.39, 3 Nd 3.59, 6 Sm 3.63-3.65
Mg: 0.6667 0.6667 0.0000  6 Sm 3.39, 3 Mg 3.64
Mg: 0.3333 0.3333 0.0000  6 Sm 3.39, 3 Mg 3.64

[12]
Material: Nd8Sm4Mg
Method: DFT, GGA-PBE
State: optimized geometry

Output
formation energy from the elements: 6.46 eV per formula unit
uncorrected energy: -4.012 eV per atom

Unit cell a=11.2262 b=11.2262 c=7.9018 alpha=90.00 beta=135.26 gamma=120.00
Last column: nearest neighbours and their distance in Å.
Element x y z (fractional)
Nd: 0.5164 0.7582 0.2747  4 Sm 3.28-3.47, 1 Mg 3.50
Nd: 0.4836 0.2418 0.7253  4 Sm 3.28-3.47, 1 Mg 3.50
Nd: 0.4839 0.2419 0.2346  4 Sm 3.36-3.46, 1 Mg 3.51
Nd: 0.0074 0.2493 0.7654  4 Sm 3.36-3.46, 1 Mg 3.51
Nd: 0.5161 0.7581 0.7654  4 Sm 3.36-3.46, 1 Mg 3.51
Nd: 0.0074 0.7581 0.7654  4 Sm 3.36-3.46, 1 Mg 3.51
Nd: 0.9926 0.2419 0.2346  4 Sm 3.36-3.46, 1 Mg 3.51
Nd: 0.9926 0.7507 0.2346  4 Sm 3.36-3.46, 1 Mg 3.51
Sm: 0.0000 0.0000 0.0000  8 Nd 3.28-3.36
Sm: 0.0000 0.5000 0.0000  8 Nd 3.44-3.47
Sm: 0.5000 0.5000 0.0000  8 Nd 3.44-3.47
Sm: 0.5000 0.0000 0.0000  8 Nd 3.44-3.47
Mg: 0.0000 0.5000 0.5000  8 Nd 3.50-3.51

- The lowest formation energy from the elements belongs to which entry?
  Nd4Sm9Mg11

- Look up the uncorrected energy of the sixth one.
  -4.121 eV per atom

- Number 6 is which compound?
  Nd5Sm4Mg2

- Look up the formation energy from the elements of the eleventh one.
  0.76 eV per formula unit